Record 1
NaLaEuIn: optimized geometry, PBE-GGA.

Structure (POSCAR):
```
NaLaEuIn
1.0
0.000 4.022 4.022
4.022 0.000 4.022
4.022 4.022 0.000
Na La Eu In
1 1 1 1
Cartesian
0.000 0.000 0.000 Na
2.011 2.011 2.011 La
6.033 6.033 6.033 Eu
4.022 4.022 4.022 In
```

=====

Record 2
LaNdEuIn: optimized geometry, PBE-GGA.

Structure (POSCAR):
```
LaNdEuIn
1.0
0.000 4.017 4.017
4.017 0.000 4.017
4.017 4.017 0.000
La Nd Eu In
1 1 1 1
Cartesian
0.000 0.000 0.000 La
4.017 4.017 4.017 Nd
6.025 6.025 6.025 Eu
2.008 2.008 2.008 In
```

=====

Record 3
LaEuInPd: optimized geometry, PBE-GGA.

Structure (POSCAR):
```
LaEuInPd
1.0
0.000 3.811 3.811
3.811 0.000 3.811
3.811 3.811 0.000
La Eu In Pd
1 1 1 1
Cartesian
0.000 0.000 0.000 La
3.811 3.811 3.811 Eu
5.717 5.717 5.717 In
1.906 1.906 1.906 Pd
```

=====

The total DFT energy (no corrections) results, record by record, are as follows: -19.982 -23.459 -25.178 eV/cell.